[1]
A plane-wave DFT calculation with GGA-PBE was carried out for an optimized crystal structure of La3Pr4Sm5.

Structure (extended XYZ):
```
12
Lattice="-2.627 -3.329 4.408 -0.203 -8.498 -2.295 5.790 0.514 8.082" Properties=species:S:1:pos:R:3 pbc="T T T"
La 2.794 -3.992 2.894
La 2.840 -3.863 7.262
La 0.120 -7.450 2.933
Sm 1.480 -5.656 5.098
Sm -0.052 -4.520 0.799
Sm 3.013 -6.793 9.396
Sm 0.147 -1.590 3.131
Sm 2.814 -9.723 7.065
Pr 4.914 -6.580 6.446
Pr -1.953 -4.733 3.749
Pr -0.216 -10.736 4.494
Pr 3.176 -0.576 5.701
```

Results
* energy: -4.59 eV/atom
* calculated volume: 433 Å³ per cell
* energy of formation from the pure elements: 2.40 eV per formula unit
* distance to the lowest polymorph of the same formula: 184 meV/atom

---

[2]
A plane-wave DFT calculation with GGA-PBE was carried out for an optimized crystal structure of LaPr6Sm3.

Structure (extended XYZ):
```
20
Lattice="-4.110 -4.637 1.968 0.239 -4.573 -10.278 7.398 -3.231 7.838" Properties=species:S:1:pos:R:3 pbc="T T T"
Pr 0.540 -10.108 -3.839
Pr 1.669 -4.866 -4.864
Pr 1.937 -3.518 3.870
Pr 4.594 -5.522 -2.236
Pr 0.535 -5.111 0.997
Pr 5.571 -7.231 2.709
Pr 3.103 -7.735 0.176
Pr 3.613 -7.265 8.893
Pr 2.026 -2.898 -1.415
Pr -3.094 -6.394 -2.678
Pr 2.720 -6.603 3.979
Pr -0.988 -6.194 -8.933
Sm 4.274 -4.184 1.111
Sm -1.389 -3.671 -1.649
Sm 3.556 -8.724 -3.229
Sm 3.181 -10.728 2.007
Sm 0.526 -6.820 -2.192
Sm -1.764 -5.675 3.587
La -0.873 -7.091 -5.705
La 5.656 -3.933 4.632
```

Results
* energy: -4.65 eV/atom
* calculated volume: 710 Å³ per cell
* energy of formation from the pure elements: 1.27 eV per formula unit
* distance to the lowest polymorph of the same formula: 0 meV/atom

---

[3]
A plane-wave DFT calculation with GGA-PBE was carried out for an optimized crystal structure of La3Pr8Sm.

Structure (extended XYZ):
```
12
Lattice="8.622 -0.291 -0.463 -3.680 7.803 0.463 -3.680 -2.961 7.235" Properties=species:S:1:pos:R:3 pbc="T T T"
La 0.631 4.967 1.924
La -3.680 2.421 3.849
La 0.631 -0.415 5.310
Pr -3.693 -0.262 5.556
Pr -1.194 3.478 5.529
Pr -3.693 5.122 2.169
Pr 2.483 1.056 1.678
Pr 5.585 0.398 0.632
Pr -5.525 2.325 6.602
Pr -0.632 1.726 2.743
Pr -5.525 4.945 4.954
Sm 0.000 0.000 0.000
```

Results
* energy: -4.31 eV/atom
* calculated volume: 473 Å³ per cell
* energy of formation from the pure elements: 6.01 eV per formula unit

---

[4]
A plane-wave DFT calculation with GGA-PBE was carried out for an optimized crystal structure of LaPr3Sm7.

Structure (extended XYZ):
```
11
Lattice="8.860 0.000 0.000 0.000 7.243 0.000 0.000 -3.621 6.272" Properties=species:S:1:pos:R:3 pbc="T T T"
Sm 1.037 1.806 5.224
Sm 3.971 1.818 1.050
Sm 3.971 3.621 4.173
Sm 3.971 5.425 1.050
Sm 1.037 0.000 2.096
Sm 1.097 3.621 2.091
Sm 1.037 -1.806 5.224
La 3.925 0.000 4.182
Pr 6.947 1.814 3.135
Pr 6.947 5.429 3.135
Pr 6.947 3.621 0.003
```

Results
* energy: -4.58 eV/atom
* calculated volume: 402 Å³ per cell
* energy of formation from the pure elements: 1.88 eV per formula unit
* distance to the lowest polymorph of the same formula: 0 meV/atom

---

[5]
A plane-wave DFT calculation with GGA-PBE was carried out for an optimized crystal structure of La3Pr2Sm2.

Structure (extended XYZ):
```
7
Lattice="3.642 -0.433 0.495 -0.776 12.042 2.180 1.175 1.213 6.192" Properties=species:S:1:pos:R:3 pbc="T T T"
Sm 3.386 4.172 6.285
Sm 0.655 8.650 2.583
Pr 0.527 10.950 5.484
Pr 3.515 1.873 3.384
La 0.000 0.000 0.000
La 1.949 7.558 5.890
La 2.092 5.264 2.977
```

Results
* energy: -4.81 eV/atom
* calculated volume: 251 Å³ per cell
* energy of formation from the pure elements: 0.13 eV per formula unit
* distance to the lowest polymorph of the same formula: 0 meV/atom

---

[6]
A plane-wave DFT calculation with GGA-PBE was carried out for an optimized crystal structure of La4PrSm7.

Structure (extended XYZ):
```
12
Lattice="7.060 1.915 0.989 5.226 7.856 2.613 -1.114 -0.520 9.104" Properties=species:S:1:pos:R:3 pbc="T T T"
Pr 0.000 0.000 0.000
La 8.419 7.148 8.838
La 4.053 2.755 7.270
La 2.753 2.103 3.868
La 7.119 6.496 5.436
Sm 3.530 0.958 0.495
Sm 4.385 4.411 1.566
Sm 4.880 6.198 8.356
Sm 7.556 3.688 7.794
Sm 3.616 5.563 4.912
Sm 6.787 4.840 11.140
Sm 6.292 3.053 4.349
```

Results
* energy: -4.77 eV/atom
* calculated volume: 424 Å³ per cell
* energy of formation from the pure elements: 0.25 eV per formula unit
* distance to the lowest polymorph of the same formula: 0 meV/atom

---

[7]
A plane-wave DFT calculation with GGA-PBE was carried out for an optimized crystal structure of La3PrSm7.

Structure (extended XYZ):
```
11
Lattice="6.507 0.016 0.436 0.427 7.768 1.114 -0.006 0.051 7.859" Properties=species:S:1:pos:R:3 pbc="T T T"
La 0.071 1.412 6.670
La 3.253 0.008 0.218
La 0.351 6.408 2.303
Pr 3.464 3.918 4.705
Sm 5.047 4.499 8.159
Sm 1.732 0.678 3.574
Sm 5.196 7.158 5.836
Sm 5.241 1.869 2.475
Sm 0.211 3.910 4.487
Sm 1.687 5.966 6.934
Sm 1.881 3.336 1.250
```

Results
* energy: -4.58 eV/atom
* calculated volume: 397 Å³ per cell
* energy of formation from the pure elements: 2.22 eV per formula unit
* distance to the lowest polymorph of the same formula: 0 meV/atom

---

[8]
A plane-wave DFT calculation with GGA-PBE was carried out for an optimized crystal structure of LaPr7Sm2.

Structure (extended XYZ):
```
10
Lattice="-5.094 -1.140 2.246 3.307 -5.571 4.672 -2.904 7.861 4.606" Properties=species:S:1:pos:R:3 pbc="T T T"
Pr 0.439 -3.564 6.376
Pr -5.130 4.714 5.147
Pr -0.894 -3.356 3.459
Pr -1.549 -0.212 3.567
Pr -3.044 -2.200 6.362
Pr -1.648 3.350 5.161
Pr -3.142 1.362 7.956
Sm -0.149 -0.115 6.799
Sm -4.542 1.265 4.723
La 0.000 0.000 0.000
```

Results
* energy: -4.60 eV/atom
* calculated volume: 373 Å³ per cell
* energy of formation from the pure elements: 1.86 eV per formula unit
* distance to the lowest polymorph of the same formula: 0 meV/atom

---

Q: Which formula does entry 7 have?
A: La3PrSm7

---

Q: Which value of energy of formation from the pure elements does entry 5 give?
A: 0.13 eV per formula unit